# 1
First-principles (PBE-GGA) data for crystalline BaTl11In at its relaxed geometry, as listed in Alexandria via LeMat-Bulk.

Values from the calculation:
energy	-0.08915	hartree per atom

Unit cell a=6.4969 b=8.6338 c=8.6783 alpha=82.17 beta=68.02 gamma=68.65
Fractional positions:
Tl 0.0000 0.5000 0.0000
Tl 0.3624 0.6404 0.6449
Tl 0.4995 0.7861 0.2107
Tl 0.5005 0.2139 0.7893
Tl 0.2898 0.2139 0.2107
Tl 0.0073 0.6404 0.3551
Tl 0.5000 0.0000 0.5000
Tl 0.7102 0.7861 0.7893
Tl 0.6376 0.3596 0.3551
Tl 0.9927 0.3596 0.6449
Tl 0.0000 0.0000 0.5000
In 0.5000 0.5000 0.0000
Ba 0.0000 0.0000 0.0000

---

# 2
First-principles (PBE-GGA) data for crystalline Ba2Tl6In at its relaxed geometry, as listed in Alexandria via LeMat-Bulk.

Values from the calculation:
polymorph energy (0 for the lowest one)	0.061	eV per atom

Unit cell a=7.6183 b=7.6183 c=7.6150 alpha=59.94 beta=59.94 gamma=59.96
Fractional positions:
Tl 0.7864 0.2136 0.2135
Tl 0.2136 0.7864 0.2135
Tl 0.2135 0.2135 0.7857
Tl 0.7865 0.7865 0.2143
Tl 0.2136 0.7864 0.7865
Tl 0.7864 0.2136 0.7865
In 0.5000 0.5000 0.5000
Ba 0.7500 0.7500 0.7506
Ba 0.2500 0.2500 0.2494

---

# 3
First-principles (PBE-GGA) data for crystalline Ba5TlIn2 at its relaxed geometry, as listed in Alexandria via LeMat-Bulk.

Values from the calculation:
energy	-0.09175	hartree per atom

Unit cell a=9.0279 b=9.0279 c=11.0423 alpha=114.13 beta=114.13 gamma=90.00
Fractional positions:
Ba 0.4698 0.3225 0.2924
Ba 0.9698 0.4698 0.2924
Ba 0.0000 0.0000 0.0000
Ba 0.5000 0.5000 0.0000
Ba 0.0302 0.5302 0.7076
Ba 0.6775 0.1775 0.7076
Ba 0.3225 0.8225 0.2924
Ba 0.1775 0.0302 0.7076
Ba 0.5302 0.6775 0.7076
Ba 0.8225 0.9698 0.2924
In 0.8860 0.6140 0.0000
In 0.6140 0.1140 0.0000
In 0.3860 0.8860 0.0000
In 0.1140 0.3860 0.0000
Tl 0.7500 0.7500 0.5000
Tl 0.2500 0.2500 0.5000

---

# 4
First-principles (PBE-GGA) data for crystalline BaTlIn at its relaxed geometry, as listed in Alexandria via LeMat-Bulk.

Values from the calculation:
energy	-0.10171	hartree per atom

Unit cell a=5.3850 b=6.7224 c=6.8022 alpha=79.36 beta=66.68 gamma=66.39
Fractional positions:
Ba 0.9553 0.7939 0.2954
Ba 0.0447 0.2061 0.7046
In 0.3404 0.2161 0.1031
In 0.6596 0.7839 0.8969
Tl 0.6650 0.4064 0.2636
Tl 0.3350 0.5936 0.7364

---

# 5
First-principles (PBE-GGA) data for crystalline BaTlIn at its relaxed geometry, as listed in Alexandria via LeMat-Bulk.

Values from the calculation:
energy	-0.09818	hartree per atom

Unit cell a=17.3060 b=7.0017 c=4.9997 alpha=44.82 beta=90.31 gamma=99.89
Fractional positions:
Tl 0.8765 0.8972 0.5998
Tl 0.6235 0.1028 0.9002
Tl 0.3765 0.8972 0.0998
Tl 0.1235 0.1028 0.4002
In 0.0000 0.5000 0.0000
In 0.0000 0.0000 0.0000
In 0.5000 0.0000 0.5000
In 0.5000 0.5000 0.5000
Ba 0.1606 0.6382 0.3646
Ba 0.3394 0.3618 0.1354
Ba 0.6606 0.6382 0.8646
Ba 0.8394 0.3618 0.6354

---

# 6
First-principles (PBE-GGA) data for crystalline BaTlIn3 at its relaxed geometry, as listed in Alexandria via LeMat-Bulk.

Values from the calculation:
polymorph energy (0 for the lowest one)	1.003	eV per atom

Unit cell a=6.4145 b=6.4145 c=6.4145 alpha=90.00 beta=90.00 gamma=90.00
Fractional positions:
In 0.5000 0.0000 0.0000
In 0.0000 0.5000 0.0000
In 0.0000 0.0000 0.5000
Tl 0.5000 0.5000 0.5000
Ba 0.0000 0.0000 0.0000

---

# 7
First-principles (PBE-GGA) data for crystalline BaTl8In2 at its relaxed geometry, as listed in Alexandria via LeMat-Bulk.

Values from the calculation:
energy	-0.08601	hartree per atom

Unit cell a=7.6645 b=7.6645 c=6.7768 alpha=90.00 beta=90.00 gamma=90.00
Fractional positions:
Tl 0.7923 0.7923 0.7460
Tl 0.2077 0.2077 0.7460
Tl 0.7923 0.2077 0.2540
Tl 0.2077 0.2077 0.2540
Tl 0.7923 0.7923 0.2540
Tl 0.2077 0.7923 0.7460
Tl 0.7923 0.2077 0.7460
Tl 0.2077 0.7923 0.2540
Ba 0.5000 0.5000 0.5000
In 0.0000 0.5000 0.0000
In 0.5000 0.0000 0.0000

---

# 8
First-principles (PBE-GGA) data for crystalline BaTlIn2 at its relaxed geometry, as listed in Alexandria via LeMat-Bulk.

Values from the calculation:
polymorph energy (0 for the lowest one)	0.302	eV per atom

Unit cell a=11.3324 b=11.3324 c=11.3324 alpha=18.83 beta=18.83 gamma=18.83
Fractional positions:
In 0.9950 0.9950 0.9950
In 0.5050 0.5050 0.5050
Tl 0.2500 0.2500 0.2500
Ba 0.7500 0.7500 0.7500

---

# 9
First-principles (PBE-GGA) data for crystalline BaTl7In4 at its relaxed geometry, as listed in Alexandria via LeMat-Bulk.

Values from the calculation:
energy	-0.08986	hartree per atom

Unit cell a=6.4739 b=9.6389 c=7.4682 alpha=78.03 beta=64.31 gamma=70.38
Fractional positions:
In 0.4806 0.3036 0.7353
In 0.5194 0.6964 0.2647
In 0.7558 0.6797 0.8087
In 0.2442 0.3203 0.1913
Tl 0.2963 0.6451 0.7623
Tl 0.9886 0.3491 0.6736
Tl 0.7037 0.3549 0.2377
Tl 0.2638 0.0011 0.4713
Tl 0.5000 0.0000 0.0000
Tl 0.0114 0.6509 0.3264
Tl 0.7362 0.9989 0.5287
Ba 0.0000 0.0000 0.0000

---

# 10
First-principles (PBE-GGA) data for crystalline Ba5TlIn at its relaxed geometry, as listed in Alexandria via LeMat-Bulk.

Values from the calculation:
energy	-0.08386	hartree per atom

Unit cell a=7.6776 b=7.6776 c=12.0806 alpha=88.54 beta=88.54 gamma=89.68
Fractional positions:
Ba 0.5853 0.7466 0.9975
Ba 0.6272 0.0443 0.6686
Ba 0.0443 0.6272 0.1686
Ba 0.7466 0.5853 0.4975
Ba 0.3728 0.9557 0.3314
Ba 0.8432 0.1568 0.2500
Ba 0.2534 0.4147 0.5025
Ba 0.9557 0.3728 0.8314
Ba 0.4147 0.2534 0.0025
Ba 0.1568 0.8432 0.7500
In 0.4937 0.5063 0.7500
In 0.5063 0.4937 0.2500
Tl 0.0000 0.0000 0.0000
Tl 0.0000 0.0000 0.5000

---

# 11
First-principles (PBE-GGA) data for crystalline Ba2TlIn at its relaxed geometry, as listed in Alexandria via LeMat-Bulk.

Values from the calculation:
energy	-0.09178	hartree per atom

Unit cell a=6.6010 b=6.6010 c=6.6010 alpha=132.80 beta=132.80 gamma=68.97
Fractional positions:
Ba 0.2500 0.7500 0.5000
Ba 0.0000 0.0000 0.0000
In 0.5000 0.5000 0.0000
Tl 0.7500 0.2500 0.5000

---

# 12
First-principles (PBE-GGA) data for crystalline BaTl5In at its relaxed geometry, as listed in Alexandria via LeMat-Bulk.

Values from the calculation:
energy	-0.09178	hartree per atom

Unit cell a=5.3541 b=5.3541 c=8.1159 alpha=90.00 beta=90.00 gamma=90.00
Fractional positions:
Tl 0.5000 0.0000 0.7120
Tl 0.0000 0.5000 0.7120
Tl 0.5000 0.0000 0.2880
Tl 0.5000 0.5000 0.0000
Tl 0.0000 0.5000 0.2880
Ba 0.0000 0.0000 0.0000
In 0.0000 0.0000 0.5000

---

# 13
First-principles (PBE-GGA) data for crystalline Ba2TlIn2 at its relaxed geometry, as listed in Alexandria via LeMat-Bulk.

Values from the calculation:
polymorph energy (0 for the lowest one)	0.100	eV per atom

Unit cell a=8.2011 b=8.2011 c=5.5742 alpha=90.00 beta=90.00 gamma=90.00
Fractional positions:
Ba 0.3243 0.1757 0.5000
Ba 0.6757 0.8243 0.5000
Ba 0.1757 0.6757 0.5000
Ba 0.8243 0.3243 0.5000
In 0.6294 0.1294 0.0000
In 0.3706 0.8706 0.0000
In 0.1294 0.3706 0.0000
In 0.8706 0.6294 0.0000
Tl 0.0000 0.0000 0.0000
Tl 0.5000 0.5000 0.0000

---

# 14
First-principles (PBE-GGA) data for crystalline BaTl2In6 at its relaxed geometry, as listed in Alexandria via LeMat-Bulk.

Values from the calculation:
energy	-0.09783	hartree per atom

Unit cell a=3.6838 b=9.4276 c=9.4276 alpha=59.51 beta=78.10 gamma=78.10
Fractional positions:
In 0.6787 0.9961 0.6431
In 0.5000 0.3339 0.6661
In 0.3213 0.3569 0.0039
In 0.3213 0.0039 0.3569
In 0.6787 0.6431 0.9961
In 0.5000 0.6661 0.3339
Tl 0.8526 0.6430 0.6430
Tl 0.1474 0.3570 0.3570
Ba 0.0000 0.0000 0.0000

---

# 15
First-principles (PBE-GGA) data for crystalline Ba4Tl2In at its relaxed geometry, as listed in Alexandria via LeMat-Bulk.

Values from the calculation:
polymorph energy (0 for the lowest one)	0.012	eV per atom

Unit cell a=6.0527 b=6.0527 c=10.4149 alpha=73.11 beta=73.11 gamma=60.00
Fractional positions:
Ba 0.8761 0.8761 0.3717
Ba 0.6244 0.6244 0.1268
Ba 0.3756 0.3756 0.8732
Ba 0.1239 0.1239 0.6283
In 0.0000 0.0000 0.0000
Tl 0.7482 0.7482 0.7555
Tl 0.2518 0.2518 0.2445

---

# 16
First-principles (PBE-GGA) data for crystalline Ba8Tl2In at its relaxed geometry, as listed in Alexandria via LeMat-Bulk.

Values from the calculation:
polymorph energy (0 for the lowest one)	0.058	eV per atom

Unit cell a=5.9339 b=9.7395 c=10.4840 alpha=117.68 beta=106.44 gamma=90.00
Fractional positions:
Ba 0.0000 0.6834 0.0000
Ba 0.6590 0.8795 0.3180
Ba 0.3410 0.1205 0.6820
Ba 0.6590 0.4384 0.3180
Ba 0.1399 0.1399 0.2799
Ba 0.3410 0.5616 0.6820
Ba 0.8601 0.8601 0.7201
Ba 0.0000 0.3166 0.0000
In 0.5000 0.0000 0.0000
Tl 0.1891 0.6892 0.3783
Tl 0.8109 0.3108 0.6217

---

# 17
First-principles (PBE-GGA) data for crystalline Ba2Tl8In at its relaxed geometry, as listed in Alexandria via LeMat-Bulk.

Values from the calculation:
polymorph energy (0 for the lowest one)	0.000	eV per atom

Unit cell a=5.3078 b=5.3078 c=13.0541 alpha=90.00 beta=90.00 gamma=90.00
Fractional positions:
Tl 0.5000 0.5000 0.3082
Tl 0.0000 0.5000 0.8667
Tl 0.5000 0.0000 0.1333
Tl 0.0000 0.5000 0.5000
Tl 0.5000 0.5000 0.6918
Tl 0.0000 0.5000 0.1333
Tl 0.5000 0.0000 0.5000
Tl 0.5000 0.0000 0.8667
In 0.0000 0.0000 0.0000
Ba 0.0000 0.0000 0.3102
Ba 0.0000 0.0000 0.6898

---

# 18
First-principles (PBE-GGA) data for crystalline Ba6TlIn at its relaxed geometry, as listed in Alexandria via LeMat-Bulk.

Values from the calculation:
polymorph energy (0 for the lowest one)	0.123	eV per atom

Unit cell a=8.3968 b=8.3968 c=9.3760 alpha=63.40 beta=63.40 gamma=60.00
Fractional positions:
In 0.5000 0.5000 0.5000
Ba 0.5731 0.2498 0.2501
Ba 0.9270 0.5729 0.2502
Ba 0.0730 0.4271 0.7498
Ba 0.4269 0.7502 0.7499
Ba 0.7501 0.0730 0.7499
Ba 0.2499 0.9270 0.2501
Tl 0.0000 0.0000 0.0000

---

# 19
First-principles (PBE-GGA) data for crystalline BaTl2In8 at its relaxed geometry, as listed in Alexandria via LeMat-Bulk.

Values from the calculation:
energy	-0.09339	hartree per atom

Unit cell a=7.9030 b=7.9030 c=6.1641 alpha=90.00 beta=90.00 gamma=90.00
Fractional positions:
Ba 0.5000 0.5000 0.5000
In 0.1967 0.8033 0.7451
In 0.1967 0.8033 0.2549
In 0.1967 0.1967 0.7451
In 0.8033 0.1967 0.7451
In 0.8033 0.1967 0.2549
In 0.8033 0.8033 0.7451
In 0.1967 0.1967 0.2549
In 0.8033 0.8033 0.2549
Tl 0.5000 0.0000 0.0000
Tl 0.0000 0.5000 0.0000

---

# 20
First-principles (PBE-GGA) data for crystalline BaTlIn2 at its relaxed geometry, as listed in Alexandria via LeMat-Bulk.

Values from the calculation:
polymorph energy (0 for the lowest one)	0.064	eV per atom

Unit cell a=3.9268 b=4.1761 c=7.8784 alpha=90.00 beta=90.00 gamma=90.00
Fractional positions:
In 0.0000 0.0000 0.0491
In 0.5000 0.5000 0.2437
Tl 0.0000 0.0000 0.4553
Ba 0.5000 0.5000 0.7519

---

| no. | calculated volume (A^3/atom) | density of states at the Fermi level (states/eV per cell) |
| --- | --- | --- |
| 1 | 32.34 | 6.576 |
| 2 | 34.68 | 3.327 |
| 3 | 45.90 | 27.601 |
| 4 | 34.52 | 2.134 |
| 5 | 34.56 | 10.691 |
| 6 | 52.78 | 8.895 |
| 7 | 36.19 | 4.862 |
| 8 | 33.12 | 1.345 |
| 9 | 32.88 | 5.506 |
| 10 | 50.83 | 15.220 |
| 11 | 38.00 | 3.684 |
| 12 | 33.24 | 3.221 |
| 13 | 37.49 | 10.670 |
| 14 | 30.45 | 4.083 |
| 15 | 44.47 | 6.947 |
| 16 | 46.22 | 11.748 |
| 17 | 33.43 | 5.110 |
| 18 | 61.25 | 11.236 |
| 19 | 35.00 | 6.394 |
| 20 | 32.30 | 2.088 |